## i
CrSi2Cl after structural relaxation. Source: Alexandria, functional PBE.

The density of states at the Fermi level comes out at 1.94 states/eV per cell. Its crystal system is monoclinic.

The space group is Pm (No. 6) and the conventional cell measures 3.331, 2.842 and 8.058 Å, with angles of 90.00, 101.42 and 90.00 degrees. Symmetry generates all atoms from Cr at (0.000, 0.000, 0.000), Si at (0.426, 0.500, 0.845), Si at (0.840, 0.000, 0.665) and Cl at (0.107, 0.500, 0.224).

=====

## ii
CrSi2Cl after structural relaxation. Source: Alexandria, functional PBE.

The density of states at the Fermi level comes out at 2.54 states/eV per cell. Its crystal system is tetragonal.

The space group is I4/mmm (No. 139) and the conventional cell measures 5.300, 5.300 and 5.057 Å, with angles of 90.00, 90.00 and 90.00 degrees. Symmetry generates all atoms from Cr at (0.000, 0.000, 0.000), Si at (0.000, 0.500, 0.000) and Cl at (0.000, 0.000, 0.500).

=====

## iii
CrSi2Cl after structural relaxation. Source: Alexandria, functional PBE.

The density of states at the Fermi level comes out at 24.67 states/eV per cell. Its crystal system is cubic.

The space group is Fm-3m (No. 225) and the conventional cell measures 6.209, 6.209 and 6.209 Å, with angles of 90.00, 90.00 and 90.00 degrees. Symmetry generates all atoms from Cr at (0.000, 0.000, 0.000), Si at (0.250, 0.250, 0.250) and Cl at (0.000, 0.000, 0.500).

=====

Quick one: least stable of them? iii

=====

## i
CrSi2Cl after structural relaxation. Source: Alexandria, functional PBE.

The density of states at the Fermi level comes out at 3.54 states/eV per cell. Its crystal system is orthorhombic.

The space group is Immm (No. 71) and the conventional cell measures 2.894, 4.079 and 11.408 Å, with angles of 90.00, 90.00 and 90.00 degrees. Symmetry generates all atoms from Cr at (0.000, 0.000, 0.000), Si at (0.000, 0.500, 0.293) and Cl at (0.000, 0.000, 0.500).

=====

## ii
CrSi2Cl after structural relaxation. Source: Alexandria, functional PBE.

The density of states at the Fermi level comes out at 5.71 states/eV per cell. Its crystal system is orthorhombic.

The space group is Cmmm (No. 65) and the conventional cell measures 4.234, 4.243 and 6.888 Å, with angles of 90.00, 90.00 and 90.00 degrees. Symmetry generates all atoms from Cr at (0.000, 0.000, 0.000), Si at (0.000, 0.500, 0.189) and Cl at (0.000, 0.000, 0.500).

=====

Quick one: least stable of them? i

=====

## i
CrSiCl after structural relaxation. Source: Alexandria, functional PBE.

The density of states at the Fermi level comes out at 0.99 states/eV per cell. Its crystal system is tetragonal.

The space group is I4mm (No. 107) and the conventional cell measures 3.070, 3.070 and 11.456 Å, with angles of 90.00, 90.00 and 90.00 degrees. Symmetry generates all atoms from Cr at (0.000, 0.000, 0.000), Si at (0.000, 0.000, 0.400) and Cl at (0.000, 0.000, 0.208).

=====

## ii
CrSiCl after structural relaxation. Source: Alexandria, functional PBE.

The density of states at the Fermi level comes out at 4.36 states/eV per cell. Its crystal system is tetragonal.

The space group is I4mm (No. 107) and the conventional cell measures 2.916, 2.916 and 13.736 Å, with angles of 90.00, 90.00 and 90.00 degrees. Symmetry generates all atoms from Cr at (0.000, 0.000, 0.000), Si at (0.000, 0.000, 0.615) and Cl at (0.000, 0.000, 0.385).

=====

Quick one: least stable of them? ii

=====

## i
CrSiCl after structural relaxation. Source: Alexandria, functional PBE.

The density of states at the Fermi level comes out at 3.35 states/eV per cell. Its crystal system is trigonal.

The space group is P3m1 (No. 156) and the conventional cell measures 3.1088, 3.1088 and 7.0669 Å, with angles of 90.00, 90.00 and 120.00 degrees. Symmetry generates all atoms from Cr at (0.0000, 0.0000, 0.0000), Si at (0.6667, 0.3333, 0.2484) and Cl at (0.3333, 0.6667, 0.7670).

=====

## ii
CrSiCl after structural relaxation. Source: Alexandria, functional PBE.

The density of states at the Fermi level comes out at 11.25 states/eV per cell. Its crystal system is orthorhombic.

The space group is Fmm2 (No. 42) and the conventional cell measures 2.921, 5.206 and 14.995 Å, with angles of 90.00, 90.00 and 90.00 degrees. Symmetry generates all atoms from Cr at (0.000, 0.000, 0.000), Si at (0.000, 0.000, 0.635) and Cl at (0.000, 0.000, 0.383).

=====

## iii
CrSiCl after structural relaxation. Source: Alexandria, functional PBE.

The density of states at the Fermi level comes out at 7.72 states/eV per cell. Its crystal system is cubic.

The space group is F-43m (No. 216) and the conventional cell measures 6.014, 6.014 and 6.014 Å, with angles of 90.00, 90.00 and 90.00 degrees. Symmetry generates all atoms from Cr at (0.000, 0.000, 0.000), Si at (0.250, 0.250, 0.750) and Cl at (0.250, 0.250, 0.250).

=====

Quick one: least stable of them? iii

=====

## i
CrSiCl after structural relaxation. Source: Alexandria, functional PBE.

The density of states at the Fermi level comes out at 10.67 states/eV per cell. Its crystal system is cubic.

The space group is F-43m (No. 216) and the conventional cell measures 6.387, 6.387 and 6.387 Å, with angles of 90.00, 90.00 and 90.00 degrees. Symmetry generates all atoms from Cr at (0.000, 0.000, 0.000), Si at (0.250, 0.250, 0.250) and Cl at (0.000, 0.000, 0.500).

=====

## ii
CrSiCl after structural relaxation. Source: Alexandria, functional PBE.

The density of states at the Fermi level comes out at 9.77 states/eV per cell. Its crystal system is cubic.

The space group is F-43m (No. 216) and the conventional cell measures 6.155, 6.155 and 6.155 Å, with angles of 90.00, 90.00 and 90.00 degrees. Symmetry generates all atoms from Cr at (0.000, 0.000, 0.000), Si at (0.000, 0.000, 0.500) and Cl at (0.250, 0.250, 0.250).

=====

## iii
CrSiCl after structural relaxation. Source: Alexandria, functional PBE.

The density of states at the Fermi level comes out at 2.14 states/eV per cell. Its crystal system is hexagonal.

The space group is P-6m2 (No. 187) and the conventional cell measures 4.2318, 4.2318 and 2.9666 Å, with angles of 90.00, 90.00 and 120.00 degrees. Symmetry generates all atoms from Cr at (0.0000, 0.0000, 0.0000), Si at (0.6667, 0.3333, 0.5000) and Cl at (0.3333, 0.6667, 0.0000).

=====

Quick one: least stable of them? ii

=====

## i
CrSn2Cl after structural relaxation. Source: Alexandria, functional PBE.

The density of states at the Fermi level comes out at 7.75 states/eV per cell. Its crystal system is tetragonal.

The space group is I-42d (No. 122) and the conventional cell measures 4.161, 4.161 and 23.113 Å, with angles of 90.00, 90.00 and 90.00 degrees. Symmetry generates all atoms from Cr at (0.000, 0.000, 0.000), Sn at (0.242, 0.250, 0.125) and Cl at (0.000, 0.000, 0.500).

=====

## ii
CrSn2Cl after structural relaxation. Source: Alexandria, functional PBE.

The density of states at the Fermi level comes out at 32.66 states/eV per cell. Its crystal system is cubic.

The space group is Fm-3m (No. 225) and the conventional cell measures 7.015, 7.015 and 7.015 Å, with angles of 90.00, 90.00 and 90.00 degrees. Symmetry generates all atoms from Cr at (0.000, 0.000, 0.000), Sn at (0.250, 0.250, 0.250) and Cl at (0.000, 0.000, 0.500).

=====

Quick one: least stable of them? ii

=====

## i
Cr2SnCl after structural relaxation. Source: Alexandria, functional PBE.

The density of states at the Fermi level comes out at 1.92 states/eV per cell. Its crystal system is cubic.

The space group is Fm-3m (No. 225) and the conventional cell measures 6.728, 6.728 and 6.728 Å, with angles of 90.00, 90.00 and 90.00 degrees. Symmetry generates all atoms from Cr at (0.250, 0.250, 0.250), Sn at (0.000, 0.000, 0.000) and Cl at (0.000, 0.000, 0.500).

=====

## ii
Cr2SnCl after structural relaxation. Source: Alexandria, functional PBE.

The density of states at the Fermi level comes out at 13.59 states/eV per cell. Its crystal system is tetragonal.

The space group is I-42d (No. 122) and the conventional cell measures 7.100, 7.100 and 6.587 Å, with angles of 90.00, 90.00 and 90.00 degrees. Symmetry generates all atoms from Cr at (0.221, 0.250, 0.125), Sn at (0.000, 0.000, 0.500) and Cl at (0.000, 0.000, 0.000).

=====

Quick one: least stable of them? i

=====

## i
SrCrCl after structural relaxation. Source: Alexandria, functional PBE.

The density of states at the Fermi level comes out at 0.39 states/eV per cell. Its crystal system is trigonal.

The space group is P3m1 (No. 156) and the conventional cell measures 4.1500, 4.1500 and 6.6441 Å, with angles of 90.00, 90.00 and 120.00 degrees. Symmetry generates all atoms from Sr at (0.0000, 0.0000, 0.0000), Cr at (0.6667, 0.3333, 0.6336) and Cl at (0.3333, 0.6667, 0.2615).

=====

## ii
SrCrCl after structural relaxation. Source: Alexandria, functional PBE.

The density of states at the Fermi level comes out at 0.25 states/eV per cell. Its crystal system is cubic.

The space group is F-43m (No. 216) and the conventional cell measures 7.123, 7.123 and 7.123 Å, with angles of 90.00, 90.00 and 90.00 degrees. Symmetry generates all atoms from Sr at (0.000, 0.000, 0.000), Cr at (0.000, 0.000, 0.500) and Cl at (0.250, 0.250, 0.750).

=====

Quick one: least stable of them? ii

=====

## i
SrCrCl after structural relaxation. Source: Alexandria, functional PBE.

The density of states at the Fermi level comes out at 7.89 states/eV per cell. Its crystal system is cubic.

The space group is F-43m (No. 216) and the conventional cell measures 7.496, 7.496 and 7.496 Å, with angles of 90.00, 90.00 and 90.00 degrees. Symmetry generates all atoms from Sr at (0.000, 0.000, 0.000), Cr at (0.250, 0.250, 0.750) and Cl at (0.000, 0.000, 0.500).

=====

## ii
SrCrCl after structural relaxation. Source: Alexandria, functional PBE.

The density of states at the Fermi level comes out at 3.95 states/eV per cell. Its crystal system is orthorhombic.

The space group is Fmm2 (No. 42) and the conventional cell measures 5.239, 5.254 and 14.333 Å, with angles of 90.00, 90.00 and 90.00 degrees. Symmetry generates all atoms from Sr at (0.000, 0.000, 0.000), Cr at (0.000, 0.000, 0.663) and Cl at (0.000, 0.000, 0.397).

=====

Quick one: least stable of them? i

=====

## i
SrCr3Cl after structural relaxation. Source: Alexandria, functional PBE.

The density of states at the Fermi level comes out at 7.78 states/eV per cell. Its crystal system is cubic.

The space group is Pm-3m (No. 221) and the conventional cell measures 4.546, 4.546 and 4.546 Å, with angles of 90.00, 90.00 and 90.00 degrees. Symmetry generates all atoms from Sr at (0.000, 0.000, 0.000), Cr at (0.000, 0.500, 0.500) and Cl at (0.500, 0.500, 0.500).

=====

## ii
SrCr3Cl after structural relaxation. Source: Alexandria, functional PBE.

The density of states at the Fermi level comes out at 5.96 states/eV per cell. Its crystal system is cubic.

The space group is Pm-3m (No. 221) and the conventional cell measures 6.019, 6.019 and 6.019 Å, with angles of 90.00, 90.00 and 90.00 degrees. Symmetry generates all atoms from Sr at (0.000, 0.000, 0.000), Cr at (0.000, 0.000, 0.500) and Cl at (0.500, 0.500, 0.500).

=====

Quick one: least stable of them? ii

=====

## i
TaCr3Cl after structural relaxation. Source: Alexandria, functional PBE.

The density of states at the Fermi level comes out at 4.20 states/eV per cell. Its crystal system is cubic.

The space group is Pm-3m (No. 221) and the conventional cell measures 4.129, 4.129 and 4.129 Å, with angles of 90.00, 90.00 and 90.00 degrees. Symmetry generates all atoms from Ta at (0.000, 0.000, 0.000), Cr at (0.000, 0.500, 0.500) and Cl at (0.500, 0.500, 0.500).

=====

## ii
TaCr3Cl after structural relaxation. Source: Alexandria, functional PBE.

The density of states at the Fermi level comes out at 3.84 states/eV per cell. Its crystal system is cubic.

The space group is Pm-3m (No. 221) and the conventional cell measures 4.880, 4.880 and 4.880 Å, with angles of 90.00, 90.00 and 90.00 degrees. Symmetry generates all atoms from Ta at (0.000, 0.000, 0.000), Cr at (0.000, 0.000, 0.500) and Cl at (0.500, 0.500, 0.500).

=====

Quick one: least stable of them? ii

=====

## i
TaCrCl3 after structural relaxation. Source: Alexandria, functional PBE.

The density of states at the Fermi level comes out at 4.13 states/eV per cell. Its crystal system is cubic.

The space group is Pm-3m (No. 221) and the conventional cell measures 4.887, 4.887 and 4.887 Å, with angles of 90.00, 90.00 and 90.00 degrees. Symmetry generates all atoms from Ta at (0.000, 0.000, 0.000), Cr at (0.500, 0.500, 0.500) and Cl at (0.000, 0.000, 0.500).

=====

## ii
TaCrCl3 after structural relaxation. Source: Alexandria, functional PBE.

The density of states at the Fermi level comes out at 9.18 states/eV per cell. Its crystal system is cubic.

The space group is Pm-3m (No. 221) and the conventional cell measures 4.811, 4.811 and 4.811 Å, with angles of 90.00, 90.00 and 90.00 degrees. Symmetry generates all atoms from Ta at (0.000, 0.000, 0.000), Cr at (0.500, 0.500, 0.500) and Cl at (0.000, 0.500, 0.500).

=====

Quick one: least stable of them? ii

=====

## i
Cr2TcCl after structural relaxation. Source: Alexandria, functional PBE.

The density of states at the Fermi level comes out at 8.51 states/eV per cell. Its crystal system is orthorhombic.

The space group is Immm (No. 71) and the conventional cell measures 2.792, 4.275 and 8.472 Å, with angles of 90.00, 90.00 and 90.00 degrees. Symmetry generates all atoms from Cr at (0.000, 0.000, 0.227), Tc at (0.000, 0.500, 0.000) and Cl at (0.000, 0.500, 0.500).

=====

## ii
Cr2TcCl after structural relaxation. Source: Alexandria, functional PBE.

The density of states at the Fermi level comes out at 3.12 states/eV per cell. Its crystal system is monoclinic.

The space group is Pm (No. 6) and the conventional cell measures 2.934, 3.522 and 6.704 Å, with angles of 90.00, 100.48 and 90.00 degrees. Symmetry generates all atoms from Cr at (0.000, 0.000, 0.000), Cr at (0.499, 0.500, 0.853), Tc at (0.636, 0.500, 0.179) and Cl at (0.762, 0.000, 0.640).

=====

## iii
Cr2TcCl after structural relaxation. Source: Alexandria, functional PBE.

The density of states at the Fermi level comes out at 7.71 states/eV per cell. Its crystal system is orthorhombic.

The space group is Cmm2 (No. 35) and the conventional cell measures 3.016, 4.824 and 8.166 Å, with angles of 90.00, 90.00 and 90.00 degrees. Symmetry generates all atoms from Cr at (0.000, 0.000, 0.000), Cr at (0.000, 0.500, 0.233), Tc at (0.000, 0.500, 0.773) and Cl at (0.000, 0.000, 0.463).

=====

## iv
Cr2TcCl after structural relaxation. Source: Alexandria, functional PBE.

The density of states at the Fermi level comes out at 8.31 states/eV per cell. Its crystal system is orthorhombic.

The space group is Imm2 (No. 44) and the conventional cell measures 2.838, 4.271 and 8.842 Å, with angles of 90.00, 90.00 and 90.00 degrees. Symmetry generates all atoms from Cr at (0.000, 0.000, 0.000), Cr at (0.000, 0.500, 0.228), Tc at (0.000, 0.500, 0.772) and Cl at (0.000, 0.000, 0.506).

=====

Quick one: least stable of them? i